Below is La7Ag2N2 after structural relaxation, with properties calculated at the GGA-PBE level.

## Properties
Final energy in eV per cell: -61.91
Uncorrected formation energy in meV/atom: -460

Geometry as POSCAR:
```
La7Ag2N2
1.0
-1.085 3.548 5.915
-5.215 -4.118 0.983
4.012 -5.667 0.733
La N Ag
7 2 2
Cartesian
-1.576 0.515 3.228 La
0.721 -2.546 3.177 La
-3.008 -3.692 4.454 La
-0.711 -6.752 4.403 La
-2.028 -5.799 1.414 La
0.000 0.000 0.000 La
-0.260 -0.438 6.217 La
2.725 -3.690 1.930 N
-5.013 -2.547 5.701 N
-2.085 -2.437 1.679 Ag
-0.203 -3.800 5.952 Ag
```